# 1
Computed, not measured: a crystal of CrPt3Br relaxed with PBEsol at the meta-GGA SCAN level of DFT.

Computed properties:
spin magnetization: 0.9224 μB/atom
formation energy without anion corrections: 566 kJ/mol of formula units
N(E_F): 2.32 states/eV/cell

abc: 4.6492 4.6492 4.6492
angles: 90.00 90.00 90.00
Positions (direct):
1 Cr 0.0000 0.0000 0.0000
2 Pt 0.0000 0.5000 0.5000
3 Pt 0.5000 0.0000 0.5000
4 Pt 0.5000 0.5000 0.0000
5 Br 0.5000 0.5000 0.5000

***

# 2
Computed, not measured: a crystal of ReSbOF2 relaxed with PBEsol at the meta-GGA SCAN level of DFT.

Computed properties:
spin magnetization: 1.1810 μB/atom
formation energy without anion corrections: -17 kJ/mol of formula units
N(E_F): 0.53 states/eV/cell

abc: 4.5067 4.5067 4.2362
angles: 90.00 90.00 90.00
Positions (direct):
1 Re 0.0000 0.0000 0.0000
2 Sb 0.5000 0.5000 0.5000
3 O 0.5000 0.5000 0.0000
4 F 0.0000 0.5000 0.5000
5 F 0.5000 0.0000 0.5000